(1)
DFT (PBE-GGA) results for NaPdRhW2 after structural relaxation.

Properties
- E (hartree per atom) = -0.199
- crystal system = tetragonal
- D(E_F) (states/eV per cell) = 4.5

Cell: 4.498 4.349 4.498 Å, 90.00 90.00 90.00°
Fractional positions:
Na 0.000 0.000 0.000
Rh 0.000 0.500 0.000
Pd 0.500 0.500 0.500
W 0.000 0.000 0.500
W 0.500 0.000 0.000

***

(2)
DFT (PBE-GGA) results for Y5In4Cu after structural relaxation.

Properties
- E (hartree per atom) = -0.191
- crystal system = tetragonal
- D(E_F) (states/eV per cell) = 6.5

Cell: 3.558 3.558 20.276 Å, 90.00 90.00 90.00°
Fractional positions:
Y 0.500 0.500 0.084
Y 0.500 0.500 0.292
Y 0.500 0.500 0.500
Y 0.500 0.500 0.708
Y 0.500 0.500 0.916
In 0.000 0.000 0.187
In 0.000 0.000 0.396
In 0.000 0.000 0.604
In 0.000 0.000 0.813
Cu 0.000 0.000 0.000